Crystalline YSI2O at its relaxed geometry. Source: the Alexandria database, functional PBE-GGA.

Its uncorrected formation energy is -3.46 eV per formula unit. As for the density of states at the Fermi level: 0.513 states/eV/atom. The calculation puts the offset from the most stable computed form at 0 meV/atom. Its total DFT energy (no corrections) is -22.11 eV for the cell shown.

Structure (POSCAR):
```
YSI2O
1.0
6.259 0.000 0.000
0.000 6.259 0.000
0.000 0.000 4.156
Y S I O
1 1 2 1
direct
0.000 0.000 0.000
0.500 0.500 0.500
0.000 0.500 0.000
0.500 0.000 0.000
0.000 0.000 0.500
```

***

Crystalline YSI2O at its relaxed geometry. Source: the Alexandria database, functional PBE-GGA.

Its uncorrected formation energy is -0.84 eV per formula unit. As for the density of states at the Fermi level: 1.111 states/eV/atom. The calculation puts the offset from the most stable computed form at 524 meV/atom. Its total DFT energy (no corrections) is -19.49 eV for the cell shown.

Structure (POSCAR):
```
YSI2O
1.0
5.904 0.000 0.000
0.000 5.904 0.000
0.000 0.000 3.647
Y S I O
1 1 2 1
direct
0.000 0.000 0.000
0.500 0.500 0.500
0.000 0.500 0.500
0.500 0.000 0.500
0.500 0.500 0.000
```

***

Crystalline ZnSIO2 at its relaxed geometry. Source: the Alexandria database, functional PBE-GGA.

Its uncorrected formation energy is 1.03 eV per formula unit. As for the density of states at the Fermi level: 1.126 states/eV/atom. Its total DFT energy (no corrections) is -15.83 eV for the cell shown.

Structure (POSCAR):
```
ZnSIO2
1.0
3.829 0.000 0.000
0.000 3.829 0.000
0.000 0.000 7.603
Zn S I O
1 1 1 2
direct
0.000 0.000 0.000
0.500 0.500 0.500
0.000 0.000 0.500
0.000 0.500 0.000
0.500 0.000 0.000
```